VASP calculation (meta-GGA SCAN) on a crystal of Ta3NiN relaxed with PBEsol.

```
data_Ta3NiN
_chemical_formula_sum 'Ta3 Ni1 N1'
_symmetry_space_group_name_H-M 'P 1'
_symmetry_Int_Tables_number 1
_cell_length_a 4.1408
_cell_length_b 4.1408
_cell_length_c 4.1408
_cell_angle_alpha 90.00
_cell_angle_beta 90.00
_cell_angle_gamma 90.00
loop_
_symmetry_equiv_pos_as_xyz
'x,y,z'
loop_
_atom_site_label
_atom_site_fract_x
_atom_site_fract_y
_atom_site_fract_z
Ni1 0.5000 0.5000 0.5000
N1 0.0000 0.0000 0.0000
Ta1 0.0000 0.5000 0.0000
Ta2 0.0000 0.0000 0.5000
Ta3 0.5000 0.0000 0.0000
```

Results
- Raw formation energy: -0.373 eV per atom
- SG: No. 221
- Calculated density: 14.40 g/cm³
- DFT total energy: -45.42 eV/atom

***

VASP calculation (meta-GGA SCAN) on a crystal of TaNi3N relaxed with PBEsol.

```
data_TaNi3N
_chemical_formula_sum 'Ta1 Ni3 N1'
_symmetry_space_group_name_H-M 'P 1'
_symmetry_Int_Tables_number 1
_cell_length_a 3.7947
_cell_length_b 3.7947
_cell_length_c 3.7947
_cell_angle_alpha 90.00
_cell_angle_beta 90.00
_cell_angle_gamma 90.00
loop_
_symmetry_equiv_pos_as_xyz
'x,y,z'
loop_
_atom_site_label
_atom_site_fract_x
_atom_site_fract_y
_atom_site_fract_z
Ni1 0.0000 0.5000 0.0000
Ni2 0.0000 0.0000 0.5000
Ni3 0.5000 0.0000 0.0000
N1 0.0000 0.0000 0.0000
Ta1 0.5000 0.5000 0.5000
```

Results
- Raw formation energy: 0.138 eV per atom
- SG: No. 221
- Calculated density: 11.28 g/cm³
- DFT total energy: -24.74 eV/atom

***

VASP calculation (meta-GGA SCAN) on a crystal of TaNiN2 relaxed with PBEsol.

```
data_TaNiN2
_chemical_formula_sum 'Ta1 Ni1 N2'
_symmetry_space_group_name_H-M 'P 1'
_symmetry_Int_Tables_number 1
_cell_length_a 2.9643
_cell_length_b 2.9643
_cell_length_c 6.0829
_cell_angle_alpha 75.90
_cell_angle_beta 75.90
_cell_angle_gamma 60.00
loop_
_symmetry_equiv_pos_as_xyz
'x,y,z'
loop_
_atom_site_label
_atom_site_fract_x
_atom_site_fract_y
_atom_site_fract_z
Ni1 0.5000 0.5000 0.5000
N1 0.8864 0.8864 0.3408
N2 0.1136 0.1136 0.6592
Ta1 0.0000 0.0000 0.0000
```

Results
- Raw formation energy: 0.270 eV per atom
- SG: No. 166
- Calculated density: 10.01 g/cm³
- DFT total energy: -25.06 eV/atom

***

VASP calculation (meta-GGA SCAN) on a crystal of TaNi2TeN relaxed with PBEsol.

```
data_TaNi2TeN
_chemical_formula_sum 'Ta1 Ni2 Te1 N1'
_symmetry_space_group_name_H-M 'P 1'
_symmetry_Int_Tables_number 1
_cell_length_a 3.8410
_cell_length_b 3.8410
_cell_length_c 4.5922
_cell_angle_alpha 90.00
_cell_angle_beta 90.00
_cell_angle_gamma 90.00
loop_
_symmetry_equiv_pos_as_xyz
'x,y,z'
loop_
_atom_site_label
_atom_site_fract_x
_atom_site_fract_y
_atom_site_fract_z
Ni1 0.0000 0.5000 0.0000
Ni2 0.5000 0.0000 0.0000
N1 0.0000 0.0000 0.0000
Te1 0.0000 0.0000 0.5000
Ta1 0.5000 0.5000 0.5000
```

Results
- Raw formation energy: 0.585 eV per atom
- SG: No. 123
- Calculated density: 10.78 g/cm³
- DFT total energy: -28.51 eV/atom

***

VASP calculation (meta-GGA SCAN) on a crystal of TcNiN2 relaxed with PBEsol.

```
data_TcNiN2
_chemical_formula_sum 'Tc2 Ni2 N4'
_symmetry_space_group_name_H-M 'P 1'
_symmetry_Int_Tables_number 1
_cell_length_a 4.3707
_cell_length_b 4.3707
_cell_length_c 5.4337
_cell_angle_alpha 113.71
_cell_angle_beta 113.71
_cell_angle_gamma 90.00
loop_
_symmetry_equiv_pos_as_xyz
'x,y,z'
loop_
_atom_site_label
_atom_site_fract_x
_atom_site_fract_y
_atom_site_fract_z
Ni1 0.7500 0.2500 0.5000
Ni2 0.5000 0.5000 0.0000
Tc1 0.2500 0.7500 0.5000
Tc2 0.0000 0.0000 0.0000
N1 0.8761 0.3750 0.2500
N2 0.3739 0.8750 0.2500
N3 0.6250 0.6261 0.7500
N4 0.1250 0.1239 0.7500
```

Results
- Raw formation energy: -0.023 eV per atom
- SG: No. 122
- Calculated density: 7.19 g/cm³
- DFT total energy: -17.48 eV/atom

***

VASP calculation (meta-GGA SCAN) on a crystal of NiTe2WN relaxed with PBEsol.

```
data_NiTe2WN
_chemical_formula_sum 'Ni1 Te2 W1 N1'
_symmetry_space_group_name_H-M 'P 1'
_symmetry_Int_Tables_number 1
_cell_length_a 3.7435
_cell_length_b 5.2978
_cell_length_c 5.2978
_cell_angle_alpha 90.00
_cell_angle_beta 90.00
_cell_angle_gamma 90.00
loop_
_symmetry_equiv_pos_as_xyz
'x,y,z'
loop_
_atom_site_label
_atom_site_fract_x
_atom_site_fract_y
_atom_site_fract_z
Ni1 0.5000 0.5000 0.5000
Te1 0.0000 0.0000 0.5000
Te2 0.0000 0.5000 0.0000
W1 0.0000 0.0000 0.0000
N1 0.5000 0.0000 0.0000
```

Results
- Raw formation energy: 0.691 eV per atom
- SG: No. 123
- Calculated density: 8.09 g/cm³
- DFT total energy: -33.24 eV/atom

***

VASP calculation (meta-GGA SCAN) on a crystal of YNiTeN2 relaxed with PBEsol.

```
data_YNiTeN2
_chemical_formula_sum 'Y1 Ni1 Te1 N2'
_symmetry_space_group_name_H-M 'P 1'
_symmetry_Int_Tables_number 1
_cell_length_a 4.2225
_cell_length_b 4.2225
_cell_length_c 6.1441
_cell_angle_alpha 90.00
_cell_angle_beta 90.00
_cell_angle_gamma 90.00
loop_
_symmetry_equiv_pos_as_xyz
'x,y,z'
loop_
_atom_site_label
_atom_site_fract_x
_atom_site_fract_y
_atom_site_fract_z
Y1 0.0000 0.0000 0.0000
Ni1 0.5000 0.5000 0.5000
Te1 0.0000 0.0000 0.5000
N1 0.0000 0.5000 0.0000
N2 0.5000 0.0000 0.0000
```

Results
- Raw formation energy: 0.908 eV per atom
- SG: No. 123
- Calculated density: 4.60 g/cm³
- DFT total energy: -19.06 eV/atom

***

VASP calculation (meta-GGA SCAN) on a crystal of Tl3NiN relaxed with PBEsol.

```
data_Tl3NiN
_chemical_formula_sum 'Tl3 Ni1 N1'
_symmetry_space_group_name_H-M 'P 1'
_symmetry_Int_Tables_number 1
_cell_length_a 4.9257
_cell_length_b 4.9257
_cell_length_c 4.9257
_cell_angle_alpha 90.00
_cell_angle_beta 90.00
_cell_angle_gamma 90.00
loop_
_symmetry_equiv_pos_as_xyz
'x,y,z'
loop_
_atom_site_label
_atom_site_fract_x
_atom_site_fract_y
_atom_site_fract_z
Ni1 0.0000 0.0000 0.0000
Tl1 0.0000 0.5000 0.0000
Tl2 0.0000 0.0000 0.5000
Tl3 0.5000 0.0000 0.0000
N1 0.5000 0.5000 0.5000
```

Results
- Raw formation energy: 0.879 eV per atom
- SG: No. 221
- Calculated density: 9.53 g/cm³
- DFT total energy: -47.63 eV/atom

***

VASP calculation (meta-GGA SCAN) on a crystal of V4Ni2N relaxed with PBEsol.

```
data_V4Ni2N
_chemical_formula_sum 'V16 Ni8 N4'
_symmetry_space_group_name_H-M 'P 1'
_symmetry_Int_Tables_number 1
_cell_length_a 7.5750
_cell_length_b 7.5750
_cell_length_c 7.5750
_cell_angle_alpha 60.00
_cell_angle_beta 60.00
_cell_angle_gamma 60.00
loop_
_symmetry_equiv_pos_as_xyz
'x,y,z'
loop_
_atom_site_label
_atom_site_fract_x
_atom_site_fract_y
_atom_site_fract_z
V1 0.1250 0.1250 0.1250
V2 0.1250 0.1250 0.6250
V3 0.1250 0.6250 0.1250
V4 0.6250 0.1250 0.1250
V5 0.6811 0.6811 0.3189
V6 0.3189 0.3189 0.6811
V7 0.6811 0.3189 0.6811
V8 0.3189 0.6811 0.3189
V9 0.6811 0.3189 0.3189
V10 0.3189 0.6811 0.6811
V11 0.5689 0.5689 0.9311
V12 0.9311 0.9311 0.5689
V13 0.5689 0.9311 0.5689
V14 0.9311 0.5689 0.9311
V15 0.5689 0.9311 0.9311
V16 0.9311 0.5689 0.5689
Ni1 0.9181 0.9181 0.9181
Ni2 0.9181 0.9181 0.2456
Ni3 0.9181 0.2456 0.9181
Ni4 0.2456 0.9181 0.9181
Ni5 0.3319 0.3319 0.3319
Ni6 0.3319 0.3319 0.0044
Ni7 0.3319 0.0044 0.3319
Ni8 0.0044 0.3319 0.3319
N1 0.6250 0.6250 0.6250
N2 0.6250 0.6250 0.1250
N3 0.6250 0.1250 0.6250
N4 0.1250 0.6250 0.6250
```

Results
- Raw formation energy: -0.650 eV per atom
- SG: No. 227
- Calculated density: 7.24 g/cm³
- DFT total energy: -16.59 eV/atom

***

VASP calculation (meta-GGA SCAN) on a crystal of Ni2W3N relaxed with PBEsol.

```
data_Ni2W3N
_chemical_formula_sum 'Ni8 W12 N4'
_symmetry_space_group_name_H-M 'P 1'
_symmetry_Int_Tables_number 1
_cell_length_a 6.6032
_cell_length_b 6.6032
_cell_length_c 6.6032
_cell_angle_alpha 90.00
_cell_angle_beta 90.00
_cell_angle_gamma 90.00
loop_
_symmetry_equiv_pos_as_xyz
'x,y,z'
loop_
_atom_site_label
_atom_site_fract_x
_atom_site_fract_y
_atom_site_fract_z
Ni1 0.0657 0.0657 0.0657
Ni2 0.3157 0.1843 0.8157
Ni3 0.8157 0.3157 0.1843
Ni4 0.1843 0.8157 0.3157
Ni5 0.4343 0.9343 0.5657
Ni6 0.5657 0.4343 0.9343
Ni7 0.9343 0.5657 0.4343
Ni8 0.6843 0.6843 0.6843
W1 0.2001 0.4501 0.1250
W2 0.4501 0.1250 0.2001
W3 0.9501 0.3750 0.7999
W4 0.8750 0.7001 0.0499
W5 0.1250 0.2001 0.4501
W6 0.7999 0.9501 0.3750
W7 0.7001 0.0499 0.8750
W8 0.0499 0.8750 0.7001
W9 0.6250 0.2999 0.5499
W10 0.5499 0.6250 0.2999
W11 0.3750 0.7999 0.9501
W12 0.2999 0.5499 0.6250
N1 0.3750 0.3750 0.3750
N2 0.6250 0.8750 0.1250
N3 0.1250 0.6250 0.8750
N4 0.8750 0.1250 0.6250
```

Results
- Raw formation energy: -0.153 eV per atom
- SG: No. 213
- Calculated density: 15.75 g/cm³
- DFT total energy: -41.94 eV/atom

***

What did the second record say?
VASP calculation (meta-GGA SCAN) on a crystal of TaNi3N relaxed with PBEsol.

```
data_TaNi3N
_chemical_formula_sum 'Ta1 Ni3 N1'
_symmetry_space_group_name_H-M 'P 1'
_symmetry_Int_Tables_number 1
_cell_length_a 3.7947
_cell_length_b 3.7947
_cell_length_c 3.7947
_cell_angle_alpha 90.00
_cell_angle_beta 90.00
_cell_angle_gamma 90.00
loop_
_symmetry_equiv_pos_as_xyz
'x,y,z'
loop_
_atom_site_label
_atom_site_fract_x
_atom_site_fract_y
_atom_site_fract_z
Ni1 0.0000 0.5000 0.0000
Ni2 0.0000 0.0000 0.5000
Ni3 0.5000 0.0000 0.0000
N1 0.0000 0.0000 0.0000
Ta1 0.5000 0.5000 0.5000
```

Results
- Raw formation energy: 0.138 eV per atom
- SG: No. 221
- Calculated density: 11.28 g/cm³
- DFT total energy: -24.74 eV/atom